VASP calculation (GGA-PBE) on an optimized crystal structure of LiIrOs.

Cell: 4.3443 4.3443 5.5458 Å, 90.00 90.00 120.00°
Last column: nearest neighbours and their distance in Å.
Space group P-6m2 (No. 187)
Asymmetric unit:
1 Li 0.0000 0.0000 0.0000  6 Os 2.76, 2 Li 2.77, 6 Ir 2.84
2 Li 0.0000 0.0000 0.5000  2 Li 2.77, 6 Ir 2.90, 6 Os 2.99
3 Ir 0.3333 0.6667 0.2390  3 Os 2.51, 1 Ir 2.65
4 Os 0.6667 0.3333 0.2063  1 Os 2.29, 3 Ir 2.51

Formation energy in kJ per mole of atoms: 19.35
Excess energy over the best structure of this formula in the dataset in eV per atom: 0.226
Energy in eV per atom: -7.134